! GGA-PBE Co2ReRh, optimized geometry; values from VASP
&SYSTEM
  ibrav = 0, nat = 4, ntyp = 3
/
ATOMIC_SPECIES
Co 58.93 Co.upf
Re 186.21 Re.upf
Rh 102.91 Rh.upf
ATOMIC_POSITIONS crystal
Co 0.000 0.000 0.000
Co 0.750 0.250 0.500
Re 0.250 0.750 0.500
Rh 0.500 0.500 0.000
CELL_PARAMETERS angstrom
-1.836 1.836 3.725
1.836 -1.836 3.725
1.836 1.836 -3.725
! - Calculated volume: 50.24 Å³ per cell
! - Magnetization: 1.82 μB per formula unit
! - Distance to the lowest polymorph of the same formula: 0 kJ/mol of formula units
! - Formation energy: 0.03 eV/atom
! - SG: I-4m2

=====

! GGA-PBE Tb5ScSn4, optimized geometry; values from VASP
&SYSTEM
  ibrav = 0, nat = 10, ntyp = 3
/
ATOMIC_SPECIES
Tb 158.93 Tb.upf
Sc 44.96 Sc.upf
Sn 118.71 Sn.upf
ATOMIC_POSITIONS crystal
Tb 0.000 0.000 0.000
Tb 0.326 0.326 0.137
Tb 0.331 0.331 0.692
Tb 0.669 0.669 0.308
Tb 0.674 0.674 0.863
Sc 0.000 0.000 0.500
Sn 0.163 0.163 0.582
Sn 0.498 0.498 0.256
Sn 0.502 0.502 0.744
Sn 0.837 0.837 0.418
CELL_PARAMETERS angstrom
9.396 -1.816 0.000
9.396 1.816 0.000
-2.444 0.000 9.051
! - Calculated volume: 308.93 Å³ per cell
! - Magnetization: 0.00 μB per formula unit
! - Formation energy: -0.32 eV/atom
! - SG: C2/m

=====

! GGA-PBE LiIr2Au, optimized geometry; values from VASP
&SYSTEM
  ibrav = 0, nat = 4, ntyp = 3
/
ATOMIC_SPECIES
Li 6.94 Li.upf
Ir 192.22 Ir.upf
Au 196.97 Au.upf
ATOMIC_POSITIONS crystal
Li 0.000 0.000 0.000
Ir 0.000 0.000 0.529
Ir 0.500 0.500 0.750
Au 0.500 0.500 0.252
CELL_PARAMETERS angstrom
2.762 0.000 0.000
0.000 2.762 0.000
0.000 0.000 7.972
! - Calculated volume: 60.81 Å³ per cell
! - Magnetization: 0.00 μB per formula unit
! - Distance to the lowest polymorph of the same formula: 9 kJ/mol of formula units
! - Formation energy: -0.03 eV/atom
! - SG: P4mm

=====

! GGA-PBE TiNbPtW, optimized geometry; values from VASP
&SYSTEM
  ibrav = 0, nat = 4, ntyp = 4
/
ATOMIC_SPECIES
Ti 47.87 Ti.upf
Nb 92.91 Nb.upf
Pt 195.08 Pt.upf
W 183.84 W.upf
ATOMIC_POSITIONS crystal
Ti 0.000 0.000 0.000
Nb 0.500 0.500 0.500
Pt 0.250 0.250 0.250
W 0.750 0.750 0.750
CELL_PARAMETERS angstrom
0.000 3.203 3.203
3.203 0.000 3.203
3.203 3.203 0.000
! - Calculated volume: 65.71 Å³ per cell
! - Magnetization: 0.00 μB per formula unit
! - Formation energy: -0.34 eV/atom
! - SG: F-43m

=====

! GGA-PBE TbHo2ThSb4, optimized geometry; values from VASP
&SYSTEM
  ibrav = 0, nat = 8, ntyp = 4
/
ATOMIC_SPECIES
Tb 158.93 Tb.upf
Ho 164.93 Ho.upf
Th 232.04 Th.upf
Sb 121.76 Sb.upf
ATOMIC_POSITIONS crystal
Tb 0.000 0.000 0.000
Ho 0.500 0.000 0.500
Ho 0.500 0.500 0.000
Th 0.000 0.500 0.500
Sb 0.255 0.500 0.249
Sb 0.258 0.000 0.756
Sb 0.742 0.000 0.244
Sb 0.745 0.500 0.751
CELL_PARAMETERS angstrom
7.632 0.000 0.000
0.000 4.421 0.000
-2.550 0.000 7.202
! - Calculated volume: 243.02 Å³ per cell
! - Magnetization: 0.00 μB per formula unit
! - Raw formation energy: -1.083 eV/atom
! - SG: P2/m

=====

! GGA-PBE Tm4AlZn3, optimized geometry; values from VASP
&SYSTEM
  ibrav = 0, nat = 8, ntyp = 3
/
ATOMIC_SPECIES
Tm 168.93 Tm.upf
Al 26.98 Al.upf
Zn 65.41 Zn.upf
ATOMIC_POSITIONS crystal
Tm 0.000 0.000 0.000
Tm 0.000 0.500 0.300
Tm 0.500 0.000 0.490
Tm 0.500 0.500 0.807
Al 0.000 0.000 0.716
Zn 0.000 0.500 0.579
Zn 0.500 0.000 0.219
Zn 0.500 0.500 0.079
CELL_PARAMETERS angstrom
3.624 0.000 0.000
0.000 4.454 0.000
0.000 0.000 11.238
! - Calculated volume: 181.38 Å³ per cell
! - Magnetization: 0.00 μB per formula unit
! - Distance to the lowest polymorph of the same formula: 30 kJ/mol of formula units
! - Formation energy: -0.32 eV/atom
! - SG: Pmm2

=====

! GGA-PBE Ac2UTcN5, optimized geometry; values from VASP
&SYSTEM
  ibrav = 0, nat = 9, ntyp = 4
/
ATOMIC_SPECIES
Ac 227.00 Ac.upf
U 238.03 U.upf
Tc 98.00 Tc.upf
N 14.01 N.upf
ATOMIC_POSITIONS crystal
Ac 0.000 0.000 0.209
Ac 0.000 0.000 0.791
U 0.500 0.500 0.500
Tc 0.500 0.500 0.000
N 0.000 0.000 0.500
N 0.000 0.500 0.000
N 0.500 0.000 0.000
N 0.500 0.500 0.268
N 0.500 0.500 0.732
CELL_PARAMETERS angstrom
3.950 0.000 0.000
0.000 3.950 0.000
0.000 0.000 8.875
! - Calculated volume: 138.49 Å³ per cell
! - Magnetization: 1.43 μB per formula unit
! - Raw formation energy: -0.957 eV/atom
! - SG: P4/mmm

=====

! GGA-PBE Ho2Ga12Cu, optimized geometry; values from VASP
&SYSTEM
  ibrav = 0, nat = 30, ntyp = 3
/
ATOMIC_SPECIES
Ho 164.93 Ho.upf
Ga 69.72 Ga.upf
Cu 63.55 Cu.upf
ATOMIC_POSITIONS crystal
Ho 0.250 0.750 0.244
Ho 0.250 0.750 0.756
Ho 0.750 0.250 0.244
Ho 0.750 0.250 0.756
Ga 0.000 0.000 0.087
Ga 0.000 0.000 0.913
Ga 0.000 0.500 0.087
Ga 0.000 0.500 0.913
Ga 0.084 0.584 0.429
Ga 0.084 0.916 0.571
Ga 0.250 0.250 0.183
Ga 0.250 0.250 0.344
Ga 0.250 0.250 0.656
Ga 0.250 0.250 0.817
Ga 0.416 0.584 0.571
Ga 0.416 0.916 0.429
Ga 0.500 0.000 0.087
Ga 0.500 0.000 0.913
Ga 0.500 0.500 0.087
Ga 0.500 0.500 0.913
Ga 0.584 0.084 0.571
Ga 0.584 0.416 0.429
Ga 0.750 0.750 0.183
Ga 0.750 0.750 0.344
Ga 0.750 0.750 0.656
Ga 0.750 0.750 0.817
Ga 0.916 0.084 0.429
Ga 0.916 0.416 0.571
Cu 0.250 0.750 0.000
Cu 0.750 0.250 0.000
CELL_PARAMETERS angstrom
6.127 0.000 0.000
0.000 6.127 0.000
0.000 0.000 15.086
! - Calculated volume: 566.30 Å³ per cell
! - Magnetization: 0.00 μB per formula unit
! - Formation energy: -0.29 eV/atom
! - SG: P4/nbm

=====

! GGA-PBE CaLa2Th, optimized geometry; values from VASP
&SYSTEM
  ibrav = 0, nat = 4, ntyp = 3
/
ATOMIC_SPECIES
Ca 40.08 Ca.upf
La 138.91 La.upf
Th 232.04 Th.upf
ATOMIC_POSITIONS crystal
Ca 0.000 0.000 0.000
La 0.000 0.500 0.500
La 0.500 0.000 0.500
Th 0.500 0.500 0.000
CELL_PARAMETERS angstrom
5.278 0.000 0.000
0.000 5.278 0.000
0.000 0.000 5.135
! - Calculated volume: 143.04 Å³ per cell
! - Magnetization: 0.00 μB per formula unit
! - Distance to the lowest polymorph of the same formula: 47 kJ/mol of formula units
! - Formation energy: 0.14 eV/atom
! - SG: P4/mmm

=====

! GGA-PBE K4Ce3CdS8, optimized geometry; values from VASP
&SYSTEM
  ibrav = 0, nat = 16, ntyp = 4
/
ATOMIC_SPECIES
K 39.10 K.upf
Ce 140.12 Ce.upf
Cd 112.41 Cd.upf
S 32.06 S.upf
ATOMIC_POSITIONS crystal
K 0.000 0.000 0.000
K 0.000 0.500 0.500
K 0.500 0.000 0.500
K 0.500 0.500 0.000
Ce 0.000 0.000 0.500
Ce 0.000 0.500 0.000
Ce 0.500 0.000 0.000
Cd 0.500 0.500 0.500
S 0.232 0.736 0.736
S 0.235 0.235 0.235
S 0.264 0.264 0.768
S 0.264 0.768 0.264
S 0.736 0.232 0.736
S 0.736 0.736 0.232
S 0.765 0.765 0.765
S 0.768 0.264 0.264
CELL_PARAMETERS angstrom
4.149 2.395 7.357
-4.149 2.395 7.357
0.000 -4.791 7.357
! - Calculated volume: 438.68 Å³ per cell
! - Magnetization: 2.01 μB per formula unit
! - Raw formation energy: -1.575 eV/atom
! - SG: R-3m

=====

! GGA-PBE Tm5ZnTc2, optimized geometry; values from VASP
&SYSTEM
  ibrav = 0, nat = 16, ntyp = 3
/
ATOMIC_SPECIES
Tm 168.93 Tm.upf
Zn 65.41 Zn.upf
Tc 98.00 Tc.upf
ATOMIC_POSITIONS crystal
Tm 0.000 0.000 0.000
Tm 0.032 0.532 0.846
Tm 0.187 0.032 0.500
Tm 0.313 0.813 0.846
Tm 0.468 0.313 0.500
Tm 0.500 0.500 0.000
Tm 0.532 0.687 0.500
Tm 0.687 0.187 0.154
Tm 0.813 0.968 0.500
Tm 0.968 0.468 0.154
Zn 0.250 0.250 0.000
Zn 0.750 0.750 0.000
Tc 0.119 0.381 0.500
Tc 0.381 0.881 0.261
Tc 0.619 0.119 0.739
Tc 0.881 0.619 0.500
CELL_PARAMETERS angstrom
-3.720 3.720 6.947
3.720 -3.720 6.947
3.720 3.720 -6.947
! - Calculated volume: 384.54 Å³ per cell
! - Magnetization: 0.00 μB per formula unit
! - Formation energy: -0.13 eV/atom
! - SG: I4/mcm

=====

! GGA-PBE Tb2Y4H, optimized geometry; values from VASP
&SYSTEM
  ibrav = 0, nat = 7, ntyp = 3
/
ATOMIC_SPECIES
Tb 158.93 Tb.upf
Y 88.91 Y.upf
H 1.01 H.upf
ATOMIC_POSITIONS crystal
Tb 0.147 0.147 0.000
Tb 0.853 0.853 0.000
Y 0.000 0.500 0.500
Y 0.349 0.349 0.000
Y 0.500 0.000 0.500
Y 0.651 0.651 0.000
H 0.500 0.500 0.000
CELL_PARAMETERS angstrom
-2.420 2.420 8.619
2.420 -2.420 8.619
2.420 2.420 -8.619
! - Calculated volume: 201.87 Å³ per cell
! - Magnetization: 0.00 μB per formula unit
! - Calculated total energy: -5.426 eV per atom
! - SG: I4/mmm

=====

! GGA-PBE ThHg2I8, optimized geometry; values from VASP
&SYSTEM
  ibrav = 0, nat = 11, ntyp = 3
/
ATOMIC_SPECIES
Th 232.04 Th.upf
Hg 200.59 Hg.upf
I 126.90 I.upf
ATOMIC_POSITIONS crystal
Th 0.000 0.000 0.000
Hg 0.218 0.218 0.720
Hg 0.782 0.782 0.280
I 0.109 0.706 0.227
I 0.178 0.178 0.265
I 0.294 0.891 0.773
I 0.407 0.407 0.728
I 0.593 0.593 0.272
I 0.706 0.109 0.227
I 0.822 0.822 0.735
I 0.891 0.294 0.773
CELL_PARAMETERS angstrom
7.084 -5.488 0.000
7.084 5.488 0.000
-0.619 0.000 7.264
! - Calculated volume: 564.80 Å³ per cell
! - Magnetization: 0.00 μB per formula unit
! - Raw formation energy: -0.672 eV/atom
! - SG: C2/m